1.
The following is a DFT calculation (PBE) of a relaxed LiIn2Pb6 crystal.

a b c (Å): 4.8598 5.8827 10.5317
angles (deg): 72.87 77.42 67.07
Element x y z (fractional)
1 In 0.3398 0.6056 0.7138
2 In 0.6602 0.3944 0.2862
3 Pb 0.0064 0.1705 0.8235
4 Pb 0.3338 0.2759 0.0604
5 Li 0.0000 0.5000 0.5000
6 Pb 0.6725 0.0568 0.6038
7 Pb 0.3275 0.9432 0.3962
8 Pb 0.6662 0.7241 0.9396
9 Pb 0.9936 0.8295 0.1765

Energy of formation: -0.0395 eV per atom
Symmetry: P-1
Total moment: 0.00 μB/cell
Electronic total energy: -0.1225 Ha/atom


2.
The following is a DFT calculation (PBE) of a relaxed Li6PtF12 crystal.

a b c (Å): 5.9974 5.9974 5.9974
angles (deg): 97.68 97.68 97.68
Last column: magnetic moment on the atom in μB.
Element x y z (fractional)
1 F 0.5966 0.3872 0.1763  0.14
2 F 0.8237 0.4034 0.6128  0.14
3 F 0.3872 0.1763 0.5966  0.14
4 F 0.8795 0.6999 0.0486  0.11
5 F 0.1205 0.3001 0.9514  0.11
6 Li 0.3845 0.6088 0.1616  0.00
7 Li 0.1616 0.3845 0.6088  0.00
8 F 0.3001 0.9514 0.1205  0.11
9 F 0.9514 0.1205 0.3001  0.11
10 F 0.0486 0.8795 0.6999  0.11
11 Li 0.8384 0.6155 0.3912  0.00
12 Li 0.3912 0.8384 0.6155  0.00
13 Li 0.6088 0.1616 0.3845  0.00
14 F 0.1763 0.5966 0.3872  0.14
15 F 0.4034 0.6128 0.8237  0.14
16 F 0.6999 0.0486 0.8795  0.11
17 Li 0.6155 0.3912 0.8384  0.00
18 Pt 0.0000 0.0000 0.0000  0.53
19 F 0.6128 0.8237 0.4034  0.14

Symmetry: R-3
Total moment: 2.17 μB/cell
Electronic total energy: -0.1589 Ha/atom